Entry 1:
# PBE HfBe9Cr2, optimized geometry
# * relative energy among the computed polymorphs: 0.0 meV per atom
# * symmetry: R-3m, No. 166
# * formation enthalpy at 0 K: -0.212 eV per atom
# * V: 9.41 Å³/atom
# * N(E_F): 4.63 states/eV/f.u.
data_HfBe9Cr2
_space_group_name_H-M_alt 'P 1'
_space_group_IT_number 1
_cell_length_a 4.346
_cell_length_b 4.346
_cell_length_c 7.343
_cell_angle_alpha 72.79
_cell_angle_beta 72.79
_cell_angle_gamma 60.00
loop_
_space_group_symop_operation_xyz
'x,y,z'
loop_
_atom_site_label
_atom_site_type_symbol
_atom_site_fract_x
_atom_site_fract_y
_atom_site_fract_z
_atom_site_occupancy
Hf1 Hf 0.000 0.000 0.000 1
Be1 Be 0.666 0.666 0.001 1
Be2 Be 0.334 0.334 0.999 1
Be3 Be 0.500 0.500 0.500 1
Be4 Be 0.411 0.411 0.259 1
Be5 Be 0.919 0.411 0.259 1
Be6 Be 0.411 0.919 0.259 1
Be7 Be 0.589 0.589 0.741 1
Be8 Be 0.589 0.081 0.741 1
Be9 Be 0.081 0.589 0.741 1
Cr1 Cr 0.854 0.854 0.438 1
Cr2 Cr 0.146 0.146 0.562 1

Entry 2:
# PBE Rb2CuIrO6, optimized geometry
# * symmetry: Fm-3m, No. 225
# * E_form (uncorrected): -0.73 eV per atom
# * V: 13.64 Å³/atom
# * N(E_F): 5.86 states/eV/f.u.
data_Rb2CuIrO6
_space_group_name_H-M_alt 'P 1'
_space_group_IT_number 1
_cell_length_a 5.778
_cell_length_b 5.778
_cell_length_c 5.778
_cell_angle_alpha 60.00
_cell_angle_beta 60.00
_cell_angle_gamma 60.00
loop_
_space_group_symop_operation_xyz
'x,y,z'
loop_
_atom_site_label
_atom_site_type_symbol
_atom_site_fract_x
_atom_site_fract_y
_atom_site_fract_z
_atom_site_occupancy
Rb1 Rb 0.750 0.750 0.750 1
Rb2 Rb 0.250 0.250 0.250 1
Cu1 Cu 0.500 0.500 0.500 1
Ir1 Ir 0.000 0.000 0.000 1
O1 O 0.233 0.767 0.767 1
O2 O 0.233 0.767 0.233 1
O3 O 0.233 0.233 0.767 1
O4 O 0.767 0.767 0.233 1
O5 O 0.767 0.233 0.233 1
O6 O 0.767 0.233 0.767 1

Entry 3:
# PBE Ac2Zn3CuPd4, optimized geometry
# * symmetry: P-4m2, No. 115
# * formation enthalpy at 0 K: -0.587 eV per atom
# * V: 20.59 Å³/atom
# * N(E_F): 6.18 states/eV/f.u.
data_Ac2Zn3CuPd4
_space_group_name_H-M_alt 'P 1'
_space_group_IT_number 1
_cell_length_a 4.509
_cell_length_b 4.509
_cell_length_c 10.131
_cell_angle_alpha 90.00
_cell_angle_beta 90.00
_cell_angle_gamma 90.00
loop_
_space_group_symop_operation_xyz
'x,y,z'
loop_
_atom_site_label
_atom_site_type_symbol
_atom_site_fract_x
_atom_site_fract_y
_atom_site_fract_z
_atom_site_occupancy
Ac1 Ac 0.500 0.000 0.249 1
Ac2 Ac 0.000 0.500 0.751 1
Zn1 Zn 0.000 0.000 0.500 1
Zn2 Zn 0.500 0.000 0.879 1
Zn3 Zn 0.000 0.500 0.121 1
Cu1 Cu 0.500 0.500 0.500 1
Pd1 Pd 0.500 0.500 0.000 1
Pd2 Pd 0.000 0.000 0.000 1
Pd3 Pd 0.500 0.000 0.628 1
Pd4 Pd 0.000 0.500 0.372 1